The following is a PBE calculation of a relaxed PrZnCo crystal, from Alexandria via LeMat-Bulk.

Output
The calculation puts the calculated formation energy at -0.12 eV per atom. As for the spin magnetization: 0.00 μB/cell.

Cell lengths 4.2262, 4.2262, 3.9446 Å; angles 90.00, 90.00, 120.00 degrees
Closest atoms and distances in Å follow each position.
Space group P-6m2 (No. 187)
One atom of each set of equivalent atoms:
1 Pr 0.0000 0.0000 0.0000 [1 per cell]  6 Co 3.14, 6 Zn 3.14
2 Zn 0.6667 0.3333 0.5000 [1 per cell]  3 Co 2.44
3 Co 0.3333 0.6667 0.5000 [1 per cell]  3 Zn 2.44